KFeRe2: relaxed, PBE-GGA.

Structure (CIF):
```
data_KFeRe2
_space_group_name_H-M_alt 'P 4 m m'
_space_group_IT_number 99
_cell_length_a 3.083
_cell_length_b 3.083
_cell_length_c 8.331
_cell_angle_alpha 90.00
_cell_angle_beta 90.00
_cell_angle_gamma 90.00
loop_
_space_group_symop_operation_xyz
'x,y,z'
'-y,x,z'
'-x,-y,z'
'y,-x,z'
'-x,y,z'
'y,x,z'
'x,-y,z'
'-y,-x,z'
loop_
_atom_site_label
_atom_site_fract_x
_atom_site_fract_y
_atom_site_fract_z
K1 0.000 0.000 0.000
Fe1 0.500 0.500 0.664
Re1 0.000 0.000 0.535
Re2 0.500 0.500 0.354
```

VASP energy (eV/f.u.): -30.84
Calculated formation energy (eV/f.u.): 3.61
Total magnetic moment (μB per atom): 0.001
Excess energy over the best structure of this formula in the dataset (meV per atom): 99.8

---

SrBi2IBr: relaxed, PBE-GGA.

Structure (CIF):
```
data_SrBi2IBr
_space_group_name_H-M_alt 'P 4/m m m'
_space_group_IT_number 123
_space_group_name_Hall '-P 4 2'
_cell_length_a 6.445
_cell_length_b 6.445
_cell_length_c 6.089
_cell_angle_alpha 90.00
_cell_angle_beta 90.00
_cell_angle_gamma 90.00
loop_
_atom_site_label
_atom_site_fract_x
_atom_site_fract_y
_atom_site_fract_z
Sr1 0.000 0.000 0.000
Bi1 0.000 0.500 0.000
I1 0.000 0.000 0.500
Br1 0.500 0.500 0.500
```

VASP energy (eV/f.u.): -11.63
Total magnetic moment (μB per atom): 0.184
Energy relative to the elements, uncorrected (eV per atom): 0.21